1.
Computed, not measured: a relaxed structure of YCoAsC2 at the PBE-GGA level of DFT.

Cell lengths 4.395, 4.395, 4.928 Å; angles 90.00, 90.00, 90.00 degrees
Space group P4/mmm (No. 123)
Symmetry-distinct sites (fractional):
Y: 0.000 0.000 0.000 (multiplicity 1)
Co: 0.000 0.000 0.500 (multiplicity 1)
As: 0.500 0.500 0.500 (multiplicity 1)
C: 0.000 0.500 0.000 (multiplicity 2)

The calculation puts the density of states at the Fermi level at 6.36 states/eV/cell. Its size of the total moment is 0.02 μB/cell. As for the calculated formation energy: 239.7 kJ/mol of atoms. As for the raw total energy: -4.849 eV/atom.

***

2.
Computed, not measured: a relaxed structure of Cr3AsC at the PBE-GGA level of DFT.

Cell lengths 4.708, 4.708, 4.708 Å; angles 90.00, 90.00, 90.00 degrees
Space group Pm-3m (No. 221)
Symmetry-distinct sites (fractional):
Cr: 0.000 0.000 0.500 (multiplicity 3)
As: 0.000 0.000 0.000 (multiplicity 1)
C: 0.500 0.500 0.500 (multiplicity 1)

The calculation puts the density of states at the Fermi level at 2.90 states/eV/cell. Its size of the total moment is 11.00 μB/cell. As for the calculated formation energy: 178.7 kJ/mol of atoms. As for the raw total energy: -6.697 eV/atom.

***

3.
Computed, not measured: a relaxed structure of Cr3AsC at the PBE-GGA level of DFT.

Cell lengths 2.968, 10.228, 7.488 Å; angles 90.00, 90.00, 90.00 degrees
Space group Cmcm (No. 63)
Symmetry-distinct sites (fractional):
Cr: 0.000 0.036 0.250 (multiplicity 4)
Cr: 0.000 0.376 0.050 (multiplicity 8)
As: 0.000 0.263 0.750 (multiplicity 4)
C: 0.000 0.000 0.000 (multiplicity 4)

The calculation puts the density of states at the Fermi level at 20.53 states/eV/cell. Its size of the total moment is 4.89 μB/cell. As for the calculated formation energy: -8.9 kJ/mol of atoms. As for the raw total energy: -8.641 eV/atom.

***

4.
Computed, not measured: a relaxed structure of Cr3AsC at the PBE-GGA level of DFT.

Cell lengths 3.867, 3.867, 3.867 Å; angles 90.00, 90.00, 90.00 degrees
Space group Pm-3m (No. 221)
Symmetry-distinct sites (fractional):
Cr: 0.000 0.000 0.500 (multiplicity 3)
As: 0.500 0.500 0.500 (multiplicity 1)
C: 0.000 0.000 0.000 (multiplicity 1)

The calculation puts the density of states at the Fermi level at 11.95 states/eV/cell. Its size of the total moment is 2.08 μB/cell. As for the calculated formation energy: 12.5 kJ/mol of atoms. As for the raw total energy: -8.419 eV/atom.

***

5.
Computed, not measured: a relaxed structure of Cr2AsC at the PBE-GGA level of DFT.

Cell lengths 5.604, 5.604, 5.604 Å; angles 90.00, 90.00, 90.00 degrees
Space group Fm-3m (No. 225)
Symmetry-distinct sites (fractional):
Cr: 0.250 0.250 0.250 (multiplicity 8)
As: 0.000 0.000 0.000 (multiplicity 4)
C: 0.000 0.000 0.500 (multiplicity 4)

The calculation puts the density of states at the Fermi level at 11.18 states/eV/cell. Its size of the total moment is 6.03 μB/cell. As for the calculated formation energy: 75.5 kJ/mol of atoms. As for the raw total energy: -7.498 eV/atom.

***

6.
Computed, not measured: a relaxed structure of Cr3AsC at the PBE-GGA level of DFT.

Cell lengths 6.608, 2.912, 6.609 Å; angles 90.00, 111.70, 90.00 degrees
Space group P2_1/m (No. 11)
Symmetry-distinct sites (fractional):
Cr: 0.040 0.250 0.151 (multiplicity 2)
Cr: 0.338 0.750 0.511 (multiplicity 2)
Cr: 0.376 0.750 0.124 (multiplicity 2)
As: 0.221 0.250 0.769 (multiplicity 2)
C: 0.355 0.250 0.317 (multiplicity 2)

The calculation puts the density of states at the Fermi level at 9.83 states/eV/cell. Its size of the total moment is 0.56 μB/cell. As for the calculated formation energy: -3.6 kJ/mol of atoms. As for the raw total energy: -8.586 eV/atom.

***

7.
Computed, not measured: a relaxed structure of Cr2AsC at the PBE-GGA level of DFT.

Cell lengths 5.123, 5.123, 9.322 Å; angles 90.00, 90.00, 90.00 degrees
Space group I-42d (No. 122)
Symmetry-distinct sites (fractional):
Cr: 0.167 0.250 0.125 (multiplicity 8)
As: 0.000 0.000 0.500 (multiplicity 4)
C: 0.000 0.000 0.000 (multiplicity 4)

The calculation puts the density of states at the Fermi level at 11.26 states/eV/cell. Its size of the total moment is 18.05 μB/cell. As for the calculated formation energy: 32.9 kJ/mol of atoms. As for the raw total energy: -7.939 eV/atom.

***

8.
Computed, not measured: a relaxed structure of Cr2AsC at the PBE-GGA level of DFT.

Cell lengths 2.9441, 2.9441, 18.0325 Å; angles 90.00, 90.00, 120.00 degrees
Space group R-3m (No. 166, hexagonal axes)
Symmetry-distinct sites (fractional):
Cr: 0.0000 0.0000 0.2230 (multiplicity 6)
As: 0.0000 0.0000 0.0000 (multiplicity 3)
C: 0.0000 0.0000 0.5000 (multiplicity 3)

The calculation puts the density of states at the Fermi level at 9.19 states/eV/cell. Its size of the total moment is 0.00 μB/cell. As for the calculated formation energy: -10.2 kJ/mol of atoms. As for the raw total energy: -8.386 eV/atom.